The following is a PBE-GGA calculation of a relaxed TmB4Ir crystal, from OQMD via LeMat-Bulk.

a b c (Å): 4.754 4.754 4.754
angles (deg): 141.10 112.73 80.53
Element x y z (fractional)
Tm: 0.000 0.000 0.000
B: 0.073 0.743 0.330
B: 0.414 0.743 0.670
B: 0.586 0.257 0.330
B: 0.927 0.257 0.670
Ir: 0.500 0.500 0.000

Computed properties:
Symmetry   Immm, No. 71
Volume   10.1 A^3/atom
Total energy   -6.894 eV/atom


The following is a PBE-GGA calculation of a relaxed UBIr crystal, from OQMD via LeMat-Bulk.

a b c (Å): 4.333 4.333 4.333
angles (deg): 60.00 60.00 60.00
Element x y z (fractional)
U: 0.000 0.000 0.000
B: 0.250 0.250 0.250
Ir: 0.750 0.750 0.750

Computed properties:
Symmetry   F-43m, No. 216
Volume   19.2 A^3/atom
Total energy   -8.137 eV/atom


The following is a PBE-GGA calculation of a relaxed UBIr crystal, from OQMD via LeMat-Bulk.

a b c (Å): 4.085 4.085 4.085
angles (deg): 60.00 60.00 60.00
Element x y z (fractional)
U: 0.000 0.000 0.000
B: 0.250 0.250 0.250
Ir: 0.500 0.500 0.500

Computed properties:
Symmetry   F-43m, No. 216
Volume   16.1 A^3/atom
Total energy   -8.970 eV/atom


The following is a PBE-GGA calculation of a relaxed UBIr crystal, from OQMD via LeMat-Bulk.

a b c (Å): 4.298 4.298 4.298
angles (deg): 60.00 60.00 60.00
Element x y z (fractional)
U: 0.000 0.000 0.000
B: 0.500 0.500 0.500
Ir: 0.750 0.750 0.750

Computed properties:
Symmetry   F-43m, No. 216
Volume   18.7 A^3/atom
Total energy   -8.448 eV/atom


> What is the formula in the fourth record?

UBIr